Entry from Alexandria via LeMat-Bulk: an optimized crystal structure of K2PaCl4F2 (PBE).

Summary:
Total DFT energy (no corrections) (eV per atom): -5.000
SG: C2/m (12)
Total moment (μB per cell): 1.0

The structure in POSCAR format:
```
K2PaCl4F2
1.0
5.5572 -0.0939 -0.0639
1.1402 6.9015 0.0570
1.1402 2.5871 6.3985
Cl F K Pa
4 2 2 1
Direct
0.7060 0.8480 0.3648
0.2940 0.1520 0.6352
0.2940 0.6352 0.1520
0.7060 0.3648 0.8480
0.7959 0.8573 0.8573
0.2041 0.1427 0.1427
0.1765 0.6714 0.6714
0.8235 0.3286 0.3286
0.5000 0.0000 0.0000
```